GeHAu2, optimized geometry, DFT GGA-PBE; distance to the lowest polymorph of the same formula = 0 meV/atom
1.0
-2.762 0.065 4.405
4.344 -0.828 2.735
1.500 4.564 3.941
H Ge Au
2 2 4
Direct
0.250 0.750 0.500
0.500 0.500 0.000
0.000 0.000 0.000
0.750 0.250 0.500
0.224 0.625 0.250
0.526 0.125 0.250
0.875 0.776 0.750
0.375 0.474 0.750